1.
# CoTc2Mo2 GGA-PBE optimized geometry
# Energy relative to the elements = 2.286 eV per formula unit
# Total moment = 1.59 μB per formula unit
# ρ = 9523 kg/m³
# Calculated volume = 155.82 Å³/cell
data_CoTc2Mo2
_cell_length_a 7.216
_cell_length_b 7.216
_cell_length_c 2.992
_cell_angle_alpha 90.00
_cell_angle_beta 90.00
_cell_angle_gamma 90.00
_space_group_name_H-M_alt 'P 4/m b m'
_space_group_IT_number 127
_space_group_name_Hall '-P 4 2ab'
loop_
_atom_site_label
_atom_site_fract_x
_atom_site_fract_y
_atom_site_fract_z
Co1 0.000 0.000 0.000
Tc1 0.142 0.358 0.000
Mo1 0.160 0.660 0.500

---

2.
# Ti5Co2TcMo2 GGA-PBE optimized geometry
# Energy relative to the elements = -1.228 eV per formula unit
# Total moment = 0.00 μB per formula unit
# ρ = 7099 kg/m³
# Calculated volume = 302.73 Å³/cell
data_Ti5Co2TcMo2
_cell_length_a 9.872
_cell_length_b 9.872
_cell_length_c 3.107
_cell_angle_alpha 90.00
_cell_angle_beta 90.00
_cell_angle_gamma 90.00
_space_group_name_H-M_alt 'P 4/m b m'
_space_group_IT_number 127
_space_group_name_Hall '-P 4 2ab'
loop_
_atom_site_label
_atom_site_fract_x
_atom_site_fract_y
_atom_site_fract_z
Ti1 0.000 0.500 0.000
Ti2 0.061 0.203 0.000
Co1 0.128 0.372 0.500
Tc1 0.000 0.000 0.500
Mo1 0.176 0.676 0.500

---

3.
# VCoTcMo GGA-PBE optimized geometry
# Energy relative to the elements = 0.012 eV per formula unit
# Total moment = 2.32 μB per formula unit
# ρ = 9107 kg/m³
# Calculated volume = 221.58 Å³/cell
data_VCoTcMo
_cell_length_a 6.051
_cell_length_b 6.051
_cell_length_c 6.051
_cell_angle_alpha 90.00
_cell_angle_beta 90.00
_cell_angle_gamma 90.00
_space_group_name_H-M_alt 'F -4 3 m'
_space_group_IT_number 216
_space_group_name_Hall 'F -4 2 3'
loop_
_atom_site_label
_atom_site_fract_x
_atom_site_fract_y
_atom_site_fract_z
V1 0.000 0.000 0.000
Co1 0.250 0.250 0.250
Tc1 0.250 0.250 0.750
Mo1 0.000 0.000 0.500

---

4.
# CoTcMoW GGA-PBE optimized geometry
# Energy relative to the elements = 0.792 eV per formula unit
# Total moment = 2.60 μB per formula unit
# ρ = 12389 kg/m³
# Calculated volume = 234.14 Å³/cell
data_CoTcMoW
_cell_length_a 6.163
_cell_length_b 6.163
_cell_length_c 6.163
_cell_angle_alpha 90.00
_cell_angle_beta 90.00
_cell_angle_gamma 90.00
_space_group_name_H-M_alt 'F -4 3 m'
_space_group_IT_number 216
_space_group_name_Hall 'F -4 2 3'
loop_
_atom_site_label
_atom_site_fract_x
_atom_site_fract_y
_atom_site_fract_z
Co1 0.000 0.000 0.000
Tc1 0.250 0.250 0.250
Mo1 0.250 0.250 0.750
W1 0.000 0.000 0.500

---

5.
# ZnCoTcMo GGA-PBE optimized geometry
# Energy relative to the elements = 0.273 eV per formula unit
# Total moment = 0.00 μB per formula unit
# ρ = 9631 kg/m³
# Calculated volume = 219.51 Å³/cell
data_ZnCoTcMo
_cell_length_a 6.032
_cell_length_b 6.032
_cell_length_c 6.032
_cell_angle_alpha 90.00
_cell_angle_beta 90.00
_cell_angle_gamma 90.00
_space_group_name_H-M_alt 'F -4 3 m'
_space_group_IT_number 216
_space_group_name_Hall 'F -4 2 3'
loop_
_atom_site_label
_atom_site_fract_x
_atom_site_fract_y
_atom_site_fract_z
Zn1 0.000 0.000 0.000
Co1 0.250 0.250 0.750
Tc1 0.250 0.250 0.250
Mo1 0.000 0.000 0.500

---

6.
# CoTe2Mo GGA-PBE optimized geometry
# Total moment = 0.00 μB per formula unit
# ρ = 7895 kg/m³
# Formation energy from raw total energies = 0.14 eV/atom
# Calculated volume = 86.25 Å³/cell
data_CoTe2Mo
_cell_length_a 3.356
_cell_length_b 3.356
_cell_length_c 7.660
_cell_angle_alpha 90.00
_cell_angle_beta 90.00
_cell_angle_gamma 90.00
_space_group_name_H-M_alt 'P 4 m m'
_space_group_IT_number 99
loop_
_space_group_symop_operation_xyz
'x,y,z'
'-y,x,z'
'-x,-y,z'
'y,-x,z'
'-x,y,z'
'y,x,z'
'x,-y,z'
'-y,-x,z'
loop_
_atom_site_label
_atom_site_fract_x
_atom_site_fract_y
_atom_site_fract_z
Co1 0.000 0.000 0.000
Te1 0.000 0.000 0.380
Te2 0.500 0.500 0.843
Mo1 0.500 0.500 0.195

---

7.
# CoTe2Mo GGA-PBE optimized geometry
# Total moment = 1.15 μB per formula unit
# ρ = 9335 kg/m³
# Formation energy from raw total energies = 0.34 eV/atom
# Calculated volume = 72.94 Å³/cell
data_CoTe2Mo
_cell_length_a 3.340
_cell_length_b 3.340
_cell_length_c 6.539
_cell_angle_alpha 90.00
_cell_angle_beta 90.00
_cell_angle_gamma 90.00
_space_group_name_H-M_alt 'P 4/m m m'
_space_group_IT_number 123
_space_group_name_Hall '-P 4 2'
loop_
_atom_site_label
_atom_site_fract_x
_atom_site_fract_y
_atom_site_fract_z
Co1 0.000 0.000 0.000
Te1 0.500 0.500 0.250
Mo1 0.000 0.000 0.500

---

8.
# CoTeMo GGA-PBE optimized geometry
# Total moment = 1.25 μB per formula unit
# ρ = 9665 kg/m³
# Formation energy from raw total energies = 0.41 eV/atom
# Calculated volume = 97.06 Å³/cell
data_CoTeMo
_cell_length_a 3.266
_cell_length_b 3.266
_cell_length_c 9.099
_cell_angle_alpha 90.00
_cell_angle_beta 90.00
_cell_angle_gamma 90.00
_space_group_name_H-M_alt 'I 4 m m'
_space_group_IT_number 107
_space_group_name_Hall 'I 4 -2'
loop_
_atom_site_label
_atom_site_fract_x
_atom_site_fract_y
_atom_site_fract_z
Co1 0.000 0.000 0.000
Te1 0.000 0.000 0.335
Mo1 0.000 0.000 0.659